Entry 1:
This record from Alexandria describes a geometry-optimized Fe2AuCl structure. The functional is PBE.

Computed properties:
ΔE_f (raw) (eV per atom): 0.25

Cell: 6.3335 6.3335 6.3335 Å, 153.00 138.88 49.88°
With the nearest neighbours (Å) after each atom.
Fractional positions:
Fe  0.0000  0.0000  0.0000  2 Fe 2.41, 2 Au 2.57
Fe  0.8340  0.3340  0.5000  2 Fe 2.41, 2 Cl 2.48
Au  0.3872  0.8872  0.5000  6 Fe 2.57-2.74
Cl  0.6606  0.6606  0.0000  2 Fe 2.48



Entry 2:
This record from Alexandria describes a geometry-optimized Y2Co4C structure. The functional is PBE.

Cell: 7.8186 7.8186 7.8186 Å, 151.66 151.66 40.51°
With the nearest neighbours (Å) after each atom.
Fractional positions:
Y  0.1635  0.1635  0.0000  8 Co 2.77-3.07
Y  0.8365  0.8365  0.0000  8 Co 2.77-3.07
Co  0.0000  0.5000  0.5000  2 C 1.91
Co  0.3759  0.3759  0.0000  1 C 1.82
Co  0.5000  0.0000  0.5000  2 C 1.91
Co  0.6241  0.6241  0.0000  1 C 1.82
C  0.5000  0.5000  0.0000  6 Co 1.82-1.91



Entry 3:
This record from Alexandria describes a geometry-optimized PuPaVCu structure. The functional is PBE.

Cell: 4.6675 4.6675 4.6675 Å, 60.00 60.00 60.00°
With the nearest neighbours (Å) after each atom.
Fractional positions:
Pu  0.0000  0.0000  0.0000  4 Pa 2.86, 4 Cu 2.86
Pa  0.2500  0.2500  0.2500  4 Pu 2.86, 4 V 2.86
V  0.5000  0.5000  0.5000  4 Pa 2.86, 4 Cu 2.86
Cu  0.7500  0.7500  0.7500  4 Pu 2.86, 4 V 2.86



Entry 4:
This record from Alexandria describes a geometry-optimized SmInPt6 structure. The functional is PBE.

Cell: 4.1280 4.1280 8.1699 Å, 90.00 90.00 90.00°
With the nearest neighbours (Å) after each atom.
Fractional positions:
Sm  0.0000  0.0000  0.0000  12 Pt 2.92-2.96
In  0.0000  0.0000  0.5000  12 Pt 2.85-2.92
Pt  0.0000  0.5000  0.2597  2 In 2.85, 8 Pt 2.85-2.96, 2 Sm 2.96
Pt  0.0000  0.5000  0.7403  2 In 2.85, 8 Pt 2.85-2.96, 2 Sm 2.96
Pt  0.5000  0.0000  0.2597  2 In 2.85, 8 Pt 2.85-2.96, 2 Sm 2.96
Pt  0.5000  0.0000  0.7403  2 In 2.85, 8 Pt 2.85-2.96, 2 Sm 2.96
Pt  0.5000  0.5000  0.0000  4 Sm 2.92, 8 Pt 2.96
Pt  0.5000  0.5000  0.5000  8 Pt 2.85, 4 In 2.92



The calculation returns the following total magnetization values, one per record and in order: 6.30; 1.66; 2.03; 0.00 μB per formula unit.
The calculation returns the following E values, one per record and in order: -5.27; -7.28; -9.16; -6.11 eV per atom.